Entry 1:
{"formula": "Nd2Sm2S3", "functional": "PBE", "state": "optimized geometry", "lattice": [[6.655, -2.013, 0.000], [6.655, 2.013, 0.000], [-1.325, 0.000, 6.803]], "species": ["Nd", "Nd", "Sm", "Sm", "S", "S", "S"], "fractional_positions": [[0.126, 0.126, 0.374], [0.874, 0.874, 0.626], [0.371, 0.371, 0.128], [0.629, 0.629, 0.872], [0.248, 0.248, 0.752], [0.500, 0.500, 0.500], [0.752, 0.752, 0.248]], "formation_energy_uncorrected_ev_per_fu": -12.05, "m_tot_mub_per_cell": 0.000, "space_group": "C2/m (12)"}

***

Entry 2:
{"formula": "LiNd2Zn4Pt3", "functional": "PBE", "state": "optimized geometry", "lattice": [[4.057, 0.000, 0.000], [0.000, 4.057, 0.000], [0.000, 0.000, 11.670]], "species": ["Li", "Nd", "Nd", "Zn", "Zn", "Zn", "Zn", "Pt", "Pt", "Pt"], "fractional_positions": [[0.000, 0.000, 0.000], [0.000, 0.500, 0.741], [0.500, 0.000, 0.259], [0.000, 0.000, 0.500], [0.000, 0.500, 0.133], [0.500, 0.000, 0.867], [0.500, 0.500, 0.500], [0.000, 0.500, 0.356], [0.500, 0.000, 0.644], [0.500, 0.500, 0.000]], "e_tot_ev_per_cell": -41.6, "m_tot_mub_per_cell": 0.000, "space_group": "P-4m2 (115)"}

***

Please write out number 1 again, unchanged.
{"formula": "Nd2Sm2S3", "functional": "PBE", "state": "optimized geometry", "lattice": [[6.655, -2.013, 0.000], [6.655, 2.013, 0.000], [-1.325, 0.000, 6.803]], "species": ["Nd", "Nd", "Sm", "Sm", "S", "S", "S"], "fractional_positions": [[0.126, 0.126, 0.374], [0.874, 0.874, 0.626], [0.371, 0.371, 0.128], [0.629, 0.629, 0.872], [0.248, 0.248, 0.752], [0.500, 0.500, 0.500], [0.752, 0.752, 0.248]], "formation_energy_uncorrected_ev_per_fu": -12.05, "m_tot_mub_per_cell": 0.000, "space_group": "C2/m (12)"}

***

Copy entry 1 word for word.
{"formula": "Nd2Sm2S3", "functional": "PBE", "state": "optimized geometry", "lattice": [[6.655, -2.013, 0.000], [6.655, 2.013, 0.000], [-1.325, 0.000, 6.803]], "species": ["Nd", "Nd", "Sm", "Sm", "S", "S", "S"], "fractional_positions": [[0.126, 0.126, 0.374], [0.874, 0.874, 0.626], [0.371, 0.371, 0.128], [0.629, 0.629, 0.872], [0.248, 0.248, 0.752], [0.500, 0.500, 0.500], [0.752, 0.752, 0.248]], "formation_energy_uncorrected_ev_per_fu": -12.05, "m_tot_mub_per_cell": 0.000, "space_group": "C2/m (12)"}